Record 1
## CuAg (PBE-GGA)

Data for a geometry-optimized CuAg structure. Values from VASP.

Computed properties:
Formation enthalpy at 0 K = 0.098 eV/atom
Space-group type = Cm (8)
Density = 9.54 g/cm³

Quantum ESPRESSO input file:
```
&SYSTEM
  ibrav = 0, nat = 10, ntyp = 2
/
ATOMIC_SPECIES
Ag 107.87 Ag.upf
Cu 63.55 Cu.upf
CELL_PARAMETERS angstrom
7.0059 -1.9391 0.0000
7.0059 1.9391 0.0000
-0.9591 0.0000 5.4890
ATOMIC_POSITIONS angstrom
Ag 5.4829 0.0000 1.0617
Ag 10.7387 0.0000 2.1814
Ag -0.4352 0.0000 2.7546
Ag 7.6312 0.0000 4.4503
Ag 10.3584 0.0000 4.9078
Cu 0.0521 0.0000 0.0157
Cu 2.5920 0.0000 0.5902
Cu 8.1555 0.0000 1.6284
Cu 2.2208 0.0000 3.2586
Cu 4.9350 0.0000 3.8518
```

---

Record 2
## CuAg (PBE-GGA)

Data for a geometry-optimized CuAg structure. Values from VASP.

Computed properties:
Formation enthalpy at 0 K = 0.088 eV/atom
Space-group type = P2/m (10)
Density = 9.52 g/cm³

Quantum ESPRESSO input file:
```
&SYSTEM
  ibrav = 0, nat = 10, ntyp = 2
/
ATOMIC_SPECIES
Ag 107.87 Ag.upf
Cu 63.55 Cu.upf
CELL_PARAMETERS angstrom
-0.2652 -4.5761 5.0228
-1.0499 -1.9103 -1.7958
7.2837 -1.2476 -2.9310
ATOMIC_POSITIONS angstrom
Ag 0.0000 0.0000 0.0000
Ag 0.0433 -4.2164 2.2390
Ag 1.8219 -1.7580 -1.4159
Ag 4.1468 -5.9760 1.7118
Ag 5.9254 -3.5176 -1.9431
Cu 1.5202 -2.0699 1.3131
Cu 2.6763 -3.9729 2.6615
Cu 2.9843 -3.8670 0.1480
Cu 4.3422 -1.8508 -0.5698
Cu 5.4983 -3.7538 0.7786
```

---

Record 3
## Cu3Ag2 (PBE-GGA)

Data for a geometry-optimized Cu3Ag2 structure. Values from VASP.

Computed properties:
Formation enthalpy at 0 K = 0.083 eV/atom
Space-group type = Cm (8)
Density = 9.43 g/cm³

Quantum ESPRESSO input file:
```
&SYSTEM
  ibrav = 0, nat = 10, ntyp = 2
/
ATOMIC_SPECIES
Ag 107.87 Ag.upf
Cu 63.55 Cu.upf
CELL_PARAMETERS angstrom
7.3170 -1.4034 0.0000
7.3170 1.4034 0.0000
-1.7561 0.0000 6.9649
ATOMIC_POSITIONS angstrom
Ag 11.0384 0.0000 2.6076
Ag 4.6564 0.0000 4.8977
Ag 7.3714 0.0000 5.5134
Ag 10.0372 0.0000 6.4513
Cu 0.0060 0.0000 0.1476
Cu 2.4792 0.0000 0.7325
Cu 5.7192 0.0000 1.4518
Cu 8.2310 0.0000 2.1219
Cu -0.7792 0.0000 3.3591
Cu 1.8744 0.0000 4.0592
```

---

Record 4
## Cu4Ag5 (PBE-GGA)

Data for a geometry-optimized Cu4Ag5 structure. Values from VASP.

Computed properties:
Formation enthalpy at 0 K = 0.087 eV/atom
Space-group type = C2/m (12)
Density = 9.55 g/cm³

Quantum ESPRESSO input file:
```
&SYSTEM
  ibrav = 0, nat = 9, ntyp = 2
/
ATOMIC_SPECIES
Ag 107.87 Ag.upf
Cu 63.55 Cu.upf
CELL_PARAMETERS angstrom
5.9065 -1.4089 0.0000
5.9065 1.4089 0.0000
-2.1382 0.0000 8.2941
ATOMIC_POSITIONS angstrom
Ag 11.3658 0.0000 1.2969
Ag 7.1401 0.0000 3.1162
Ag -1.0691 0.0000 4.1471
Ag 2.5347 0.0000 5.1779
Ag -1.6910 0.0000 6.9972
Cu 7.9053 0.0000 0.4748
Cu 3.3351 0.0000 2.1762
Cu 6.3397 0.0000 6.1179
Cu 1.7694 0.0000 7.8193
```

---

Record 5
## CuAg (PBE-GGA)

Data for a geometry-optimized CuAg structure. Values from VASP.

Computed properties:
Formation enthalpy at 0 K = 0.044 eV/atom
Space-group type = P1 (1)
Density = 9.56 g/cm³

Quantum ESPRESSO input file:
```
&SYSTEM
  ibrav = 0, nat = 16, ntyp = 2
/
ATOMIC_SPECIES
Ag 107.87 Ag.upf
Cu 63.55 Cu.upf
CELL_PARAMETERS angstrom
2.8707 0.0000 0.0000
-0.0001 3.3024 0.0000
-0.0016 -0.0505 25.1346
ATOMIC_POSITIONS angstrom
Ag 2.8671 3.2879 0.9997
Ag 1.4370 1.6030 13.1149
Ag 0.0055 3.2509 14.9822
Ag 1.4428 1.5976 16.8406
Ag 0.0075 3.2468 18.6987
Ag 1.4416 1.5940 20.5520
Ag 0.0034 3.2430 22.4092
Ag 1.4348 1.5890 24.2679
Cu 1.4291 1.6332 2.5803
Cu 2.8626 3.2807 3.8347
Cu 1.4263 1.6261 5.1257
Cu 2.8617 3.2731 6.4117
Cu 1.4273 1.6179 7.7014
Cu 2.8638 3.2644 8.9882
Cu 1.4310 1.6105 10.2783
Cu 2.8689 3.2577 11.5344
```

---

Record 6
## CuAg (PBE-GGA)

Data for a geometry-optimized CuAg structure. Values from VASP.

Computed properties:
Formation enthalpy at 0 K = 0.090 eV/atom
Space-group type = Pmm2 (25)
Density = 9.54 g/cm³

Quantum ESPRESSO input file:
```
&SYSTEM
  ibrav = 0, nat = 10, ntyp = 2
/
ATOMIC_SPECIES
Ag 107.87 Ag.upf
Cu 63.55 Cu.upf
CELL_PARAMETERS angstrom
2.8431 0.0000 0.0000
0.0000 3.5686 0.0000
0.0000 0.0000 14.6991
ATOMIC_POSITIONS angstrom
Ag 0.0000 1.7843 1.3124
Ag 1.4215 0.0000 3.0317
Ag 0.0000 1.7843 7.2155
Ag 1.4215 0.0000 8.9441
Ag 1.4215 0.0000 11.8444
Cu 0.0000 1.7843 4.5152
Cu 1.4215 0.0000 5.7253
Cu 0.0000 1.7843 10.4020
Cu 0.0000 1.7843 13.3192
Cu 1.4215 0.0000 14.5355
```